1.
4
Lattice="3.287 0.000 0.000 0.000 4.218 0.000 0.000 0.000 5.890" Properties=species:S:1:pos:R:3 comment="LiCrIn2 | Alexandria via LeMat-Bulk | PBE | relaxed" e_form_mev_per_atom=176 total_energy_ev_per_atom=-4.08 pbc="T T T"
Li 0.000 0.000 0.000
Cr 1.644 2.109 1.554
In 0.000 0.000 2.802
In 1.644 2.109 4.568

2.
24
Lattice="6.927 -10.336 0.000 6.927 10.336 0.000 0.000 0.000 3.421" Properties=species:S:1:pos:R:3 comment="Sc11In9Ni4 | Alexandria via LeMat-Bulk | PBE | relaxed" e_form_mev_per_atom=-517 total_energy_ev_per_atom=-5.41 pbc="T T T"
Sc 0.000 0.000 0.000
Sc 3.460 3.483 0.000
Sc 6.927 7.070 0.000
Sc 4.322 0.000 0.000
Sc 6.927 2.623 0.000
Sc 3.460 -3.483 0.000
Sc 10.394 3.483 0.000
Sc 6.927 -2.623 0.000
Sc 9.532 0.000 0.000
Sc 6.927 -7.070 0.000
Sc 10.394 -3.483 0.000
In 2.032 1.503 1.711
In 5.430 4.958 1.711
In 2.032 -1.503 1.711
In 8.424 4.958 1.711
In 6.927 0.000 1.711
In 5.430 -4.958 1.711
In 11.822 1.503 1.711
In 8.424 -4.958 1.711
In 11.822 -1.503 1.711
Ni 4.851 2.086 1.711
Ni 4.851 -2.086 1.711
Ni 9.003 2.086 1.711
Ni 9.003 -2.086 1.711

3.
4
Lattice="2.573 -4.404 0.000 2.573 4.404 0.000 -1.107 0.000 2.403" Properties=species:S:1:pos:R:3 comment="MgMn2Ni | Alexandria via LeMat-Bulk | PBE | relaxed" e_form_mev_per_atom=263 total_energy_ev_per_atom=-6.17 pbc="T T T"
Mg 0.000 0.000 0.000
Mn 0.733 2.202 1.202
Mn 0.733 -2.202 1.202
Ni 2.573 0.000 0.000

4.
17
Lattice="7.344 0.000 0.000 -3.672 6.360 0.000 0.000 0.000 4.753" Properties=species:S:1:pos:R:3 comment="Fe10Rh6N | Alexandria via LeMat-Bulk | PBE | relaxed" formation_energy_uncorrected_ev_per_fu=2.02 total_energy_ev_per_atom=-7.94 pbc="T T T"
Fe -0.823 1.426 1.180
Fe -2.849 4.934 3.573
Fe 1.647 0.000 1.180
Fe 0.823 1.426 3.573
Fe 0.000 4.240 0.000
Fe 0.000 4.240 2.377
Fe 3.672 2.120 0.000
Fe 3.672 2.120 2.377
Fe 5.697 0.000 3.573
Fe 2.849 4.934 1.180
Rh -1.502 2.601 3.550
Rh -2.170 3.759 1.203
Rh 3.004 0.000 3.550
Rh 1.502 2.601 1.203
Rh 4.341 0.000 1.203
Rh 2.170 3.759 3.550
N 0.000 0.000 0.000